(1)
Density functional theory data (PBE) for a relaxed Dy19Er4Tm6 crystal.

Output
Formation energy = 0.39 eV per atom

Cell: 10.7052 10.7052 10.7052 Å, 109.47 109.47 109.47°
Closest atoms and distances in Å follow each position.
Atoms (fractional coordinates):
Dy 0.0000 0.0000 0.0000  6 Dy 3.25
Dy 0.0000 0.2632 0.2632  5 Dy 3.25-3.51, 2 Er 3.29, 2 Tm 3.33
Dy 0.0000 0.7368 0.7368  5 Dy 3.25-3.51, 2 Er 3.29, 2 Tm 3.33
Dy 0.0136 0.2134 0.6733  2 Tm 3.17-3.55, 2 Er 3.32-3.39, 2 Dy 3.35-3.51
Dy 0.1999 0.9864 0.6597  2 Tm 3.17-3.55, 2 Er 3.32-3.39, 2 Dy 3.35-3.51
Dy 0.2134 0.6733 0.0136  2 Tm 3.17-3.55, 2 Er 3.32-3.39, 2 Dy 3.35-3.51
Dy 0.2632 0.0000 0.2632  5 Dy 3.25-3.51, 2 Er 3.29, 2 Tm 3.33
Dy 0.2632 0.2632 0.0000  5 Dy 3.25-3.51, 2 Er 3.29, 2 Tm 3.33
Dy 0.3267 0.5402 0.3403  2 Tm 3.17-3.55, 2 Er 3.32-3.39, 2 Dy 3.35-3.51
Dy 0.3403 0.3267 0.5402  2 Tm 3.17-3.55, 2 Er 3.32-3.39, 2 Dy 3.35-3.51
Dy 0.4598 0.7866 0.8001  2 Tm 3.17-3.55, 2 Er 3.32-3.39, 2 Dy 3.35-3.51
Dy 0.5402 0.3403 0.3267  2 Tm 3.17-3.55, 2 Er 3.32-3.39, 2 Dy 3.35-3.51
Dy 0.6597 0.1999 0.9864  2 Tm 3.17-3.55, 2 Er 3.32-3.39, 2 Dy 3.35-3.51
Dy 0.6733 0.0136 0.2134  2 Tm 3.17-3.55, 2 Er 3.32-3.39, 2 Dy 3.35-3.51
Dy 0.7368 0.0000 0.7368  5 Dy 3.25-3.51, 2 Er 3.29, 2 Tm 3.33
Dy 0.7368 0.7368 0.0000  5 Dy 3.25-3.51, 2 Er 3.29, 2 Tm 3.33
Dy 0.7866 0.8001 0.4598  2 Tm 3.17-3.55, 2 Er 3.32-3.39, 2 Dy 3.35-3.51
Dy 0.8001 0.4598 0.7866  2 Tm 3.17-3.55, 2 Er 3.32-3.39, 2 Dy 3.35-3.51
Dy 0.9864 0.6597 0.1999  2 Tm 3.17-3.55, 2 Er 3.32-3.39, 2 Dy 3.35-3.51
Er 0.0000 0.0000 0.3565  9 Dy 3.29-3.39
Er 0.0000 0.3565 0.0000  9 Dy 3.29-3.39
Er 0.3565 0.0000 0.0000  9 Dy 3.29-3.39
Er 0.6435 0.6435 0.6435  9 Dy 3.29-3.39
Tm 0.1277 0.5000 0.6277  1 Tm 3.16, 4 Dy 3.17-3.33
Tm 0.3723 0.8723 0.5000  1 Tm 3.16, 4 Dy 3.17-3.33
Tm 0.5000 0.3723 0.8723  1 Tm 3.16, 4 Dy 3.17-3.33
Tm 0.5000 0.6277 0.1277  1 Tm 3.16, 4 Dy 3.17-3.33
Tm 0.6277 0.1277 0.5000  1 Tm 3.16, 4 Dy 3.17-3.33
Tm 0.8723 0.5000 0.3723  1 Tm 3.16, 4 Dy 3.17-3.33

(2)
Density functional theory data (PBE) for a relaxed CdPtW2 crystal.

Output
Formation energy = 0.10 eV per atom

Cell: 2.7843 2.7843 8.9948 Å, 90.00 90.00 104.23°
Closest atoms and distances in Å follow each position.
Atoms (fractional coordinates):
Cd 0.0000 0.0000 0.0000  4 Cd 2.78, 2 Pt 2.89, 2 W 2.97
Pt 0.5000 0.5000 0.7411  2 W 2.66, 4 Pt 2.78, 2 Cd 2.89
W 0.0000 0.0000 0.5141  2 Pt 2.66, 6 W 2.78
W 0.5000 0.5000 0.2704  8 W 2.78-3.10, 2 Cd 2.97

(3)
Density functional theory data (PBE) for a relaxed Cu2Pd3O8 crystal.

Output
Raw formation energy = -372 meV per atom

Cell: 5.6798 5.6798 5.2954 Å, 99.11 99.11 63.35°
Closest atoms and distances in Å follow each position.
Atoms (fractional coordinates):
Cu 0.2061 0.2061 0.0666  5 O 2.01-2.09
Cu 0.7939 0.7939 0.9334  5 O 2.01-2.09
Pd 0.2469 0.7531 0.5000  6 O 2.00-2.08
Pd 0.5000 0.5000 0.0000  6 O 2.01-2.08
Pd 0.7531 0.2469 0.5000  6 O 2.00-2.08
O 0.1100 0.1100 0.3755  2 Pd 2.00, 1 Cu 2.03
O 0.1413 0.6020 0.1395  2 Cu 2.01-2.09, 2 Pd 2.08
O 0.3926 0.3926 0.6362  3 Pd 2.01-2.04
O 0.3980 0.8587 0.8605  2 Cu 2.01-2.09, 2 Pd 2.08
O 0.6020 0.1413 0.1395  2 Cu 2.01-2.09, 2 Pd 2.08
O 0.6074 0.6074 0.3638  3 Pd 2.01-2.04
O 0.8587 0.3980 0.8605  2 Cu 2.01-2.09, 2 Pd 2.08
O 0.8900 0.8900 0.6245  2 Pd 2.00, 1 Cu 2.03

(4)
Density functional theory data (PBE) for a relaxed LiMnNiIr crystal.

Output
Formation energy = -0.07 eV per atom

Cell: 4.0922 4.0922 4.0922 Å, 60.00 60.00 60.00°
Closest atoms and distances in Å follow each position.
Atoms (fractional coordinates):
Li 0.0000 0.0000 0.0000  4 Ni 2.51, 4 Ir 2.51
Mn 0.5000 0.5000 0.5000  4 Ni 2.51, 4 Ir 2.51
Ni 0.7500 0.7500 0.7500  4 Mn 2.51, 4 Li 2.51
Ir 0.2500 0.2500 0.2500  4 Mn 2.51, 4 Li 2.51